Entry 1:
DFT (PBE) results for a relaxed Mg8In5Ga crystal.

Cell: 8.850 8.850 8.614 Å, 90.00 90.00 90.00°
Space group I-4 (No. 82)
Inequivalent atoms, fractional coordinates:
Mg 0.051 0.167 0.178 [8 per cell]
Mg 0.107 0.291 0.504 [8 per cell]
In 0.000 0.500 0.250 [2 per cell]
In 0.091 0.297 0.848 [8 per cell]
Ga 0.000 0.000 0.500 [2 per cell]

- Total energy: -29.601 eV per formula unit
- D(E_F): 0.533 states/eV/atom
- Energy of formation: -9 meV/atom

***

Entry 2:
DFT (PBE) results for a relaxed Ba3AgHg crystal.

Cell: 4.625 10.322 10.354 Å, 108.99 90.00 90.01°
Space group P1 (No. 1)
Inequivalent atoms, fractional coordinates:
Ba 0.000 0.000 0.000 [1 per cell]
Ba 0.000 0.104 0.585 [1 per cell]
Ba 0.499 0.401 0.937 [1 per cell]
Ba 0.499 0.697 0.639 [1 per cell]
Ba 0.998 0.343 0.344 [1 per cell]
Ba 0.998 0.760 0.244 [1 per cell]
Ag 0.498 0.548 0.287 [1 per cell]
Ag 0.500 0.048 0.791 [1 per cell]
Hg 0.499 0.045 0.286 [1 per cell]
Hg 0.999 0.467 0.706 [1 per cell]

- Total energy: -10.098 eV per formula unit
- D(E_F): 0.898 states/eV/atom
- Excess energy over the best structure of this formula in the dataset: 71 meV/atom
- Energy of formation: -235 meV/atom